(1)
## RbZrNiPt2 (GGA-PBEsol)

Data for crystalline RbZrNiPt2 at its relaxed geometry.

magnetic moment	0.00	μB per formula unit
energy relative to the elements	0.45	eV/atom

a = 4.4274 Å, b = 4.8841 Å, c = 4.8841 Å
α = 90.00°, β = 90.00°, γ = 90.00°
With the nearest neighbours (Å) after each atom.
Sites, in units of the cell vectors:
1 Pt 0.0000 0.0000 0.5000  2 Ni 2.44
2 Pt 0.0000 0.5000 0.0000  2 Ni 2.44
3 Ni 0.0000 0.0000 0.0000  2 Zr 2.21, 4 Pt 2.44
4 Zr 0.5000 0.0000 0.0000  2 Ni 2.21
5 Rb 0.5000 0.5000 0.5000  8 Pt 3.30, 4 Zr 3.45

(2)
## ReNiPt2 (GGA-PBEsol)

Data for crystalline ReNiPt2 at its relaxed geometry.

magnetic moment	0.00	μB per formula unit
energy relative to the elements	-0.10	eV/atom

a = 2.6944 Å, b = 4.6387 Å, c = 4.6819 Å
α = 99.60°, β = 90.00°, γ = 106.88°
With the nearest neighbours (Å) after each atom.
Sites, in units of the cell vectors:
1 Re 0.5044 0.0088 0.4997  7 Pt 2.62-2.75, 3 Ni 2.62-2.74, 2 Re 2.69
2 Pt 0.7534 0.5069 0.2700  4 Ni 2.61-2.79, 3 Re 2.62-2.66, 5 Pt 2.69-2.79
3 Pt 0.9959 0.9919 0.9844  4 Re 2.65-2.75, 3 Ni 2.65-2.67, 5 Pt 2.69-2.79
4 Ni 0.2462 0.4924 0.7459  7 Pt 2.61-2.79, 3 Re 2.62-2.74, 2 Ni 2.69

(3)
## ReNiPt2 (GGA-PBEsol)

Data for crystalline ReNiPt2 at its relaxed geometry.

magnetic moment	0.35	μB per formula unit
energy relative to the elements	-0.12	eV/atom

a = 2.7053 Å, b = 2.7053 Å, c = 7.4952 Å
α = 90.00°, β = 90.00°, γ = 90.00°
With the nearest neighbours (Å) after each atom.
Sites, in units of the cell vectors:
1 Pt 0.0000 0.0000 0.2570  4 Ni 2.64, 4 Pt 2.71, 4 Re 2.71
2 Pt 0.0000 0.0000 0.7430  4 Ni 2.64, 4 Pt 2.71, 4 Re 2.71
3 Re 0.5000 0.5000 0.0000  4 Re 2.71, 8 Pt 2.71
4 Ni 0.5000 0.5000 0.5000  8 Pt 2.64, 4 Ni 2.71

(4)
## ReNiPt2 (GGA-PBEsol)

Data for crystalline ReNiPt2 at its relaxed geometry.

magnetic moment	0.00	μB per formula unit
energy relative to the elements	-0.10	eV/atom

a = 2.7105 Å, b = 3.8363 Å, c = 5.2797 Å
α = 90.00°, β = 90.00°, γ = 90.00°
With the nearest neighbours (Å) after each atom.
Sites, in units of the cell vectors:
1 Pt 0.0000 0.0000 0.2513  4 Pt 2.63-2.71, 4 Ni 2.69, 4 Re 2.70
2 Pt 0.0000 0.0000 0.7487  4 Pt 2.63-2.71, 4 Ni 2.69, 4 Re 2.70
3 Re 0.5000 0.5000 0.0000  2 Ni 2.64, 8 Pt 2.70, 2 Re 2.71
4 Ni 0.5000 0.5000 0.5000  2 Re 2.64, 8 Pt 2.69, 2 Ni 2.71

(5)
## ReNiPt2 (GGA-PBEsol)

Data for crystalline ReNiPt2 at its relaxed geometry.

magnetic moment	0.00	μB per formula unit
energy relative to the elements	-0.09	eV/atom

a = 3.7584 Å, b = 3.7584 Å, c = 4.6923 Å
α = 113.61°, β = 113.61°, γ = 90.00°
With the nearest neighbours (Å) after each atom.
Sites, in units of the cell vectors:
1 Pt 0.7500 0.2500 0.5000  4 Pt 2.66, 4 Ni 2.70, 4 Re 2.70
2 Pt 0.2500 0.7500 0.5000  4 Pt 2.66, 4 Ni 2.70, 4 Re 2.70
3 Ni 0.5000 0.5000 0.0000  4 Re 2.66, 8 Pt 2.70
4 Re 0.0000 0.0000 0.0000  4 Ni 2.66, 8 Pt 2.70

(6)
## ReNiPt2 (GGA-PBEsol)

Data for crystalline ReNiPt2 at its relaxed geometry.

magnetic moment	0.00	μB per formula unit
energy relative to the elements	-0.06	eV/atom

a = 2.6872 Å, b = 4.3510 Å, c = 4.7251 Å
α = 90.00°, β = 90.00°, γ = 90.00°
With the nearest neighbours (Å) after each atom.
Sites, in units of the cell vectors:
1 Ni 0.5000 0.5000 0.2199  2 Re 2.62, 8 Pt 2.66-2.77, 2 Ni 2.69
2 Re 0.5000 0.0000 0.5289  2 Ni 2.62, 8 Pt 2.65-2.78, 2 Re 2.69
3 Pt 0.0000 0.5000 0.7066  4 Ni 2.66-2.77, 4 Pt 2.69-2.70, 4 Re 2.69
4 Pt 0.0000 0.0000 0.0446  4 Re 2.65-2.78, 4 Pt 2.69-2.70, 4 Ni 2.69

(7)
## ReNiPt2 (GGA-PBEsol)

Data for crystalline ReNiPt2 at its relaxed geometry.

magnetic moment	0.00	μB per formula unit
energy relative to the elements	-0.05	eV/atom

a = 2.6956 Å, b = 4.6578 Å, c = 4.6456 Å
α = 99.49°, β = 90.00°, γ = 106.82°
With the nearest neighbours (Å) after each atom.
Sites, in units of the cell vectors:
1 Ni 0.0000 0.0000 0.5000  6 Pt 2.68-2.69, 4 Re 2.69, 2 Ni 2.70
2 Pt 0.7490 0.4981 0.7498  3 Re 2.68-2.70, 3 Ni 2.68-2.69, 6 Pt 2.68-2.70
3 Pt 0.2510 0.5019 0.2502  3 Re 2.68-2.70, 3 Ni 2.68-2.69, 6 Pt 2.68-2.70
4 Re 0.5000 0.0000 0.0000  6 Pt 2.68-2.70, 4 Ni 2.69, 2 Re 2.70

(8)
## ReNiPt2 (GGA-PBEsol)

Data for crystalline ReNiPt2 at its relaxed geometry.

magnetic moment	0.00	μB per formula unit
energy relative to the elements	-0.10	eV/atom

a = 2.6991 Å, b = 2.6991 Å, c = 7.5175 Å
α = 90.00°, β = 90.00°, γ = 90.00°
With the nearest neighbours (Å) after each atom.
Sites, in units of the cell vectors:
1 Re 0.0000 0.0000 0.5174  4 Ni 2.55, 4 Re 2.70, 4 Pt 2.72
2 Pt 0.0000 0.0000 0.9812  4 Ni 2.62, 8 Pt 2.70-2.83
3 Pt 0.5000 0.5000 0.2598  8 Pt 2.70-2.83, 4 Re 2.72
4 Ni 0.5000 0.5000 0.7416  4 Re 2.55, 4 Pt 2.62, 4 Ni 2.70

(9)
## Ni6PtRh (GGA-PBEsol)

Data for crystalline Ni6PtRh at its relaxed geometry.

magnetic moment	4.97	μB per formula unit
energy relative to the elements	-0.01	eV/atom

a = 6.2015 Å, b = 6.2015 Å, c = 10.1140 Å
α = 90.00°, β = 90.00°, γ = 109.42°
With the nearest neighbours (Å) after each atom.
Sites, in units of the cell vectors:
1 Ni 0.8741 0.6228 0.8763  8 Ni 2.50-2.54, 3 Rh 2.51-2.53, 1 Pt 2.54
2 Ni 0.2514 0.7486 0.2477  2 Rh 2.51-2.52, 8 Ni 2.51-2.55, 2 Pt 2.55
3 Ni 0.8730 0.6241 0.3736  1 Rh 2.52, 8 Ni 2.52-2.56, 3 Pt 2.53-2.55
4 Ni 0.1259 0.3772 0.1237  8 Ni 2.50-2.54, 3 Rh 2.51-2.53, 1 Pt 2.54
5 Ni 0.3759 0.1270 0.3736  1 Rh 2.52, 8 Ni 2.52-2.56, 3 Pt 2.53-2.55
6 Ni 0.6241 0.8730 0.3736  1 Rh 2.52, 8 Ni 2.52-2.56, 3 Pt 2.53-2.55
7 Ni 0.3772 0.1259 0.8763  8 Ni 2.50-2.54, 3 Rh 2.51-2.53, 1 Pt 2.54
8 Ni 0.5000 0.5000 0.0000  8 Ni 2.52, 4 Rh 2.52-2.53
9 Ni 0.0000 0.0000 0.0000  2 Pt 2.52, 8 Ni 2.54, 2 Rh 2.54
10 Ni 0.1270 0.3759 0.6264  1 Rh 2.52, 8 Ni 2.52-2.56, 3 Pt 2.53-2.55
11 Ni 0.5000 0.5000 0.5000  8 Ni 2.53, 2 Pt 2.53, 2 Rh 2.53
12 Ni 0.6228 0.8741 0.8763  8 Ni 2.50-2.54, 3 Rh 2.51-2.53, 1 Pt 2.54
13 Ni 0.7486 0.2514 0.7523  2 Rh 2.51-2.52, 8 Ni 2.51-2.55, 2 Pt 2.55
14 Ni 0.3759 0.1270 0.6264  1 Rh 2.52, 8 Ni 2.52-2.56, 3 Pt 2.53-2.55
15 Ni 0.6241 0.8730 0.6264  1 Rh 2.52, 8 Ni 2.52-2.56, 3 Pt 2.53-2.55
16 Ni 0.6228 0.8741 0.1237  8 Ni 2.50-2.54, 3 Rh 2.51-2.53, 1 Pt 2.54
17 Ni 0.2514 0.7486 0.7523  2 Rh 2.51-2.52, 8 Ni 2.51-2.55, 2 Pt 2.55
18 Ni 0.8741 0.6228 0.1237  8 Ni 2.50-2.54, 3 Rh 2.51-2.53, 1 Pt 2.54
19 Ni 0.1259 0.3772 0.8763  8 Ni 2.50-2.54, 3 Rh 2.51-2.53, 1 Pt 2.54
20 Ni 0.8730 0.6241 0.6264  1 Rh 2.52, 8 Ni 2.52-2.56, 3 Pt 2.53-2.55
21 Ni 0.1270 0.3759 0.3736  1 Rh 2.52, 8 Ni 2.52-2.56, 3 Pt 2.53-2.55
22 Ni 0.3772 0.1259 0.1237  8 Ni 2.50-2.54, 3 Rh 2.51-2.53, 1 Pt 2.54
23 Ni 0.0000 0.0000 0.5000  4 Pt 2.53-2.54, 8 Ni 2.54
24 Ni 0.7486 0.2514 0.2477  2 Rh 2.51-2.52, 8 Ni 2.51-2.55, 2 Pt 2.55
25 Pt 0.2502 0.7498 0.5000  12 Ni 2.53-2.55
26 Pt 0.0000 0.0000 0.2491  12 Ni 2.52-2.55
27 Pt 0.7498 0.2502 0.5000  12 Ni 2.53-2.55
28 Pt 0.0000 0.0000 0.7509  12 Ni 2.52-2.55
29 Rh 0.2505 0.7495 0.0000  12 Ni 2.51-2.54
30 Rh 0.5000 0.5000 0.7506  12 Ni 2.52-2.53
31 Rh 0.7495 0.2505 0.0000  12 Ni 2.51-2.54
32 Rh 0.5000 0.5000 0.2494  12 Ni 2.52-2.53

(10)
## Ni4PtRh (GGA-PBEsol)

Data for crystalline Ni4PtRh at its relaxed geometry.

magnetic moment	4.08	μB per formula unit
energy relative to the elements	0.06	eV/atom

a = 4.6355 Å, b = 4.6355 Å, c = 4.6355 Å
α = 60.00°, β = 60.00°, γ = 60.00°
With the nearest neighbours (Å) after each atom.
Sites, in units of the cell vectors:
1 Ni 0.3749 0.3749 0.3749  6 Ni 2.32
2 Ni 0.3749 0.3749 0.8752  6 Ni 2.32
3 Ni 0.8752 0.3749 0.3749  6 Ni 2.32
4 Ni 0.3749 0.8752 0.3749  6 Ni 2.32
5 Rh 0.0000 0.0000 0.0000  12 Ni 2.72, 4 Pt 2.84
6 Pt 0.7500 0.7500 0.7500  12 Ni 2.72, 4 Rh 2.84

(11)
## Ni2PtRhS (GGA-PBEsol)

Data for crystalline Ni2PtRhS at its relaxed geometry.

E_form (uncorrected)	1.13	eV/atom
magnetic moment	1.97	μB per formula unit

a = 4.1683 Å, b = 4.4825 Å, c = 4.4825 Å
α = 90.00°, β = 90.00°, γ = 90.00°
With the nearest neighbours (Å) after each atom.
Sites, in units of the cell vectors:
1 Pt 0.5000 0.5000 0.5000  8 Ni 3.06, 4 S 3.17
2 Ni 0.0000 0.5000 0.0000  2 Rh 2.24
3 Ni 0.0000 0.0000 0.5000  2 Rh 2.24
4 Rh 0.0000 0.0000 0.0000  2 S 2.08, 4 Ni 2.24
5 S 0.5000 0.0000 0.0000  2 Rh 2.08

(12)
## Ni2RuPt (GGA-PBEsol)

Data for crystalline Ni2RuPt at its relaxed geometry.

magnetic moment	0.01	μB per formula unit
energy relative to the elements	0.15	eV/atom

a = 4.1121 Å, b = 4.1121 Å, c = 4.1121 Å
α = 60.00°, β = 60.00°, γ = 60.00°
With the nearest neighbours (Å) after each atom.
Sites, in units of the cell vectors:
1 Pt 0.5000 0.5000 0.5000  8 Ni 2.52
2 Ni 0.7500 0.7500 0.7500  4 Ru 2.52, 4 Pt 2.52
3 Ni 0.2500 0.2500 0.2500  4 Ru 2.52, 4 Pt 2.52
4 Ru 0.0000 0.0000 0.0000  8 Ni 2.52

(13)
## Ni2RuPt (GGA-PBEsol)

Data for crystalline Ni2RuPt at its relaxed geometry.

magnetic moment	0.00	μB per formula unit
energy relative to the elements	0.03	eV/atom

a = 2.6266 Å, b = 3.5416 Å, c = 5.2947 Å
α = 90.00°, β = 90.00°, γ = 90.00°
With the nearest neighbours (Å) after each atom.
Sites, in units of the cell vectors:
1 Ni 0.0000 0.0000 0.7376  4 Ni 2.52-2.78, 4 Ru 2.54, 4 Pt 2.61
2 Ni 0.0000 0.0000 0.2624  4 Ni 2.52-2.78, 4 Ru 2.54, 4 Pt 2.61
3 Pt 0.5000 0.5000 0.0000  8 Ni 2.61, 2 Pt 2.63, 2 Ru 2.65
4 Ru 0.5000 0.5000 0.5000  8 Ni 2.54, 2 Ru 2.63, 2 Pt 2.65

(14)
## Ni2RuPt (GGA-PBEsol)

Data for crystalline Ni2RuPt at its relaxed geometry.

magnetic moment	0.01	μB per formula unit
energy relative to the elements	0.08	eV/atom

a = 3.5317 Å, b = 3.7347 Å, c = 3.7347 Å
α = 90.00°, β = 90.00°, γ = 90.00°
With the nearest neighbours (Å) after each atom.
Sites, in units of the cell vectors:
1 Ni 0.0000 0.0000 0.5000  4 Ru 2.57, 4 Pt 2.57, 4 Ni 2.64
2 Ni 0.0000 0.5000 0.0000  4 Ru 2.57, 4 Pt 2.57, 4 Ni 2.64
3 Pt 0.5000 0.5000 0.5000  8 Ni 2.57, 4 Ru 2.64
4 Ru 0.5000 0.0000 0.0000  8 Ni 2.57, 4 Pt 2.64